Here is a relaxed structure of Pr5Pd2Au5 from the Alexandria database. Energies are from PBE.

Values from the calculation:
- Theoretical density: 10.39 Mg/m³
- Space group: C2/m (12)
- VASP energy: -4.99 eV per atom
- Energy relative to the elements: -0.770 eV/atom

Cell lengths 4.192, 8.643, 8.915 Å; angles 89.66, 76.40, 75.96 degrees
Positions (direct):
Pd: 0.622 0.509 0.247
Pd: 0.378 0.491 0.753
Au: 0.719 0.203 0.359
Au: 0.000 0.000 0.000
Au: 0.068 0.698 0.166
Au: 0.281 0.797 0.641
Au: 0.932 0.302 0.834
Pr: 0.619 0.078 0.684
Pr: 0.695 0.703 0.906
Pr: 0.305 0.297 0.094
Pr: 0.381 0.922 0.316
Pr: 0.000 0.500 0.500

---

Here is a relaxed structure of CaCuAs2Br from the Alexandria database. Energies are from PBE.

Values from the calculation:
- Formation energy (no corrections): -0.23 eV per atom
- Theoretical density: 4.35 Mg/m³
- Space group: P4/mmm (123)
- VASP energy: -3.64 eV per atom

Cell lengths 4.565, 4.565, 6.109 Å; angles 90.00, 90.00, 90.00 degrees
Positions (direct):
Cu: 0.000 0.000 0.000
As: 0.500 0.000 0.000
As: 0.000 0.500 0.000
Ca: 0.500 0.500 0.500
Br: 0.000 0.000 0.500

---

Here is a relaxed structure of NbCr3Ge from the Alexandria database. Energies are from PBE.

Values from the calculation:
- Theoretical density: 6.22 Mg/m³
- Space group: Pm-3m (221)
- VASP energy: -7.62 eV per atom
- Energy relative to the elements: 1.090 eV/atom

Cell lengths 4.410, 4.410, 4.410 Å; angles 90.00, 90.00, 90.00 degrees
Positions (direct):
Nb: 0.500 0.500 0.500
Cr: 0.000 0.000 0.500
Cr: 0.000 0.500 0.000
Cr: 0.500 0.000 0.000
Ge: 0.000 0.000 0.000

---

Here is a relaxed structure of VCoOs3 from the Alexandria database. Energies are from PBE.

Values from the calculation:
- Theoretical density: 13.44 Mg/m³
- Space group: Pm-3m (221)
- VASP energy: -8.29 eV per atom
- Energy relative to the elements: 1.697 eV/atom

Cell lengths 4.381, 4.381, 4.381 Å; angles 90.00, 90.00, 90.00 degrees
Positions (direct):
Co: 0.000 0.000 0.000
Os: 0.500 0.000 0.000
Os: 0.000 0.000 0.500
Os: 0.000 0.500 0.000
V: 0.500 0.500 0.500

---

Here is a relaxed structure of TaMo2Ir from the Alexandria database. Energies are from PBE.

Values from the calculation:
- Theoretical density: 14.49 Mg/m³
- Space group: Pmmm (47)
- VASP energy: -10.58 eV per atom
- Energy relative to the elements: 0.018 eV/atom

Cell lengths 2.785, 4.013, 5.795 Å; angles 90.00, 90.00, 90.00 degrees
Positions (direct):
Mo: 0.000 0.000 0.513
Mo: 0.000 0.000 0.987
Ir: 0.500 0.500 0.750
Ta: 0.500 0.500 0.250

---

Here is a relaxed structure of Pr8GaCo3Br4 from the Alexandria database. Energies are from PBE.

Values from the calculation:
- Formation energy (no corrections): -0.72 eV per atom
- Theoretical density: 6.11 Mg/m³
- Space group: R-3m (166)
- VASP energy: -5.05 eV per atom

Cell lengths 8.254, 9.138, 8.258 Å; angles 116.89, 119.99, 90.00 degrees
Positions (direct):
Pr: 0.758 0.303 0.044
Pr: 0.241 0.697 0.483
Pr: 0.714 0.697 0.956
Pr: 0.759 0.303 0.517
Pr: 0.733 0.698 0.466
Pr: 0.242 0.697 0.956
Pr: 0.267 0.302 0.534
Pr: 0.286 0.303 0.044
Br: 0.500 0.000 0.000
Br: 0.000 0.000 0.500
Br: 0.500 0.000 0.500
Br: 0.000 0.000 0.000
Co: 0.500 0.500 0.000
Co: 0.000 0.500 0.500
Co: 0.500 0.500 0.500
Ga: 0.000 0.500 0.000

---

Here is a relaxed structure of Sm2Er7Th from the Alexandria database. Energies are from PBE.

Values from the calculation:
- Theoretical density: 7.48 Mg/m³
- Space group: Cmmm (65)
- VASP energy: -4.17 eV per atom
- Energy relative to the elements: 0.711 eV/atom

Cell lengths 4.982, 9.873, 9.873 Å; angles 128.85, 90.00, 90.00 degrees
Positions (direct):
Th: 0.000 0.000 0.000
Er: 0.000 0.809 0.191
Er: 0.500 0.284 0.078
Er: 0.500 0.500 0.500
Er: 0.500 0.922 0.716
Er: 0.000 0.191 0.809
Er: 0.500 0.716 0.922
Er: 0.500 0.078 0.284
Sm: 0.500 0.299 0.701
Sm: 0.500 0.701 0.299

---

Here is a relaxed structure of AcPrRu from the Alexandria database. Energies are from PBE.

Values from the calculation:
- Theoretical density: 8.58 Mg/m³
- Space group: Immm (71)
- VASP energy: -6.17 eV per atom
- Energy relative to the elements: -0.119 eV/atom

Cell lengths 12.876, 7.009, 4.025 Å; angles 89.96, 90.00, 90.00 degrees
Positions (direct):
Ru: 0.882 0.000 0.000
Ru: 0.618 0.500 0.500
Ru: 0.118 0.000 0.000
Ru: 0.382 0.500 0.500
Pr: 0.000 0.237 0.501
Pr: 0.000 0.763 0.499
Pr: 0.500 0.263 0.999
Pr: 0.500 0.737 0.001
Ac: 0.777 0.500 0.000
Ac: 0.277 0.000 0.500
Ac: 0.723 0.000 0.500
Ac: 0.223 0.500 0.000

---

Here is a relaxed structure of AlInSb3 from the Alexandria database. Energies are from PBE.

Values from the calculation:
- Formation energy (no corrections): 0.87 eV per atom
- Theoretical density: 4.71 Mg/m³
- Space group: Pm-3m (221)
- VASP energy: -2.90 eV per atom

Cell lengths 5.634, 5.634, 5.634 Å; angles 90.00, 90.00, 90.00 degrees
Positions (direct):
Sb: 0.000 0.500 0.000
Sb: 0.500 0.000 0.000
Sb: 0.000 0.000 0.500
Al: 0.500 0.500 0.500
In: 0.000 0.000 0.000

---

Here is a relaxed structure of BaNaSn3 from the Alexandria database. Energies are from PBE.

Values from the calculation:
- Theoretical density: 3.45 Mg/m³
- Space group: Pm-3m (221)
- VASP energy: -2.37 eV per atom
- Energy relative to the elements: 0.677 eV/atom

Cell lengths 6.287, 6.287, 6.287 Å; angles 90.00, 90.00, 90.00 degrees
Positions (direct):
Sn: 0.500 0.000 0.000
Sn: 0.000 0.000 0.500
Sn: 0.000 0.500 0.000
Na: 0.500 0.500 0.500
Ba: 0.000 0.000 0.000

---

Here is a relaxed structure of HfAuO2F from the Alexandria database. Energies are from PBE.

Values from the calculation:
- Formation energy (no corrections): -2.10 eV per atom
- Theoretical density: 10.06 Mg/m³
- Space group: P4/mmm (123)
- VASP energy: -7.11 eV per atom

Cell lengths 4.121, 4.121, 4.146 Å; angles 90.00, 90.00, 90.00 degrees
Positions (direct):
F: 0.000 0.000 0.500
Hf: 0.000 0.000 0.000
Au: 0.500 0.500 0.500
O: 0.500 0.000 0.000
O: 0.000 0.500 0.000

---

Here is a relaxed structure of In5Ga2Sn4 from the Alexandria database. Energies are from PBE.

Values from the calculation:
- Theoretical density: 6.78 Mg/m³
- Space group: P2/m (10)
- VASP energy: -3.19 eV per atom
- Energy relative to the elements: 0.057 eV/atom

Cell lengths 3.398, 8.611, 10.090 Å; angles 80.21, 90.00, 90.00 degrees
Positions (direct):
Sn: 0.500 0.247 0.562
Sn: 0.500 0.753 0.438
Sn: 0.500 0.193 0.124
Sn: 0.500 0.807 0.876
In: 0.000 0.535 0.681
In: 0.000 0.465 0.319
In: 0.000 0.844 0.148
In: 0.000 0.500 0.000
In: 0.000 0.156 0.852
Ga: 0.000 0.075 0.367
Ga: 0.000 0.925 0.633